No. 1
Density functional theory data (PBE) for a geometry-optimized MgSn2Pt9 structure.

The calculation puts the total magnetization at 0.0 μB per formula unit.

The space group is P4/mmm (No. 123) and the conventional cell measures 4.025, 4.025 and 12.080 Å, with angles of 90.00, 90.00 and 90.00 degrees. The distinct sites, in fractional coordinates, are Mg at (0.000, 0.000, 0.000), Sn at (0.000, 0.000, 0.327), Pt at (0.000, 0.500, 0.161), Pt at (0.000, 0.500, 0.500), Pt at (0.500, 0.500, 0.000) and Pt at (0.500, 0.500, 0.332).

***

No. 2
Density functional theory data (PBE) for a geometry-optimized Na3Hg5Au2 structure.

The calculation puts the total magnetization at 0.0 μB per formula unit. The calculation puts the energy above the most stable polymorph in this dataset at 0.022 eV/atom.

The space group is Ibam (No. 72) and the conventional cell measures 12.144, 14.038 and 6.206 Å, with angles of 90.00, 90.00 and 90.00 degrees. The distinct sites, in fractional coordinates, are Na at (0.000, 0.000, 0.250), Na at (0.121, 0.229, 0.000), Hg at (0.000, 0.500, 0.250), Hg at (0.117, 0.342, 0.500), Hg at (0.246, 0.000, 0.250) and Au at (0.139, 0.147, 0.500).

***

No. 3
Density functional theory data (PBE) for a geometry-optimized TbY3Mg4 structure.

The calculation puts the total magnetization at 0.0 μB per formula unit.

The space group is P4/mmm (No. 123) and the conventional cell measures 3.801, 3.801 and 15.216 Å, with angles of 90.00, 90.00 and 90.00 degrees. The distinct sites, in fractional coordinates, are Tb at (0.000, 0.000, 0.000), Y at (0.000, 0.000, 0.250), Y at (0.000, 0.000, 0.500), Mg at (0.500, 0.500, 0.125) and Mg at (0.500, 0.500, 0.375).

***

Calculated values (eV for the cell shown) of total energy for the records, taken in order: -69.633, -54.090, -31.233.
Calculated values (eV/atom) of energy of formation for the records, taken in order: -0.472, -0.150, -0.104.